Density functional theory data (GGA-PBE) for a geometry-optimized LaIn3Cl structure.

raw formation energy	2.3	eV/f.u.
crystal system	cubic
SG	Pm-3m (221)
VASP energy	-12.6	eV/f.u.

Unit cell a=6.2758 b=6.2758 c=6.2758 alpha=90.00 beta=90.00 gamma=90.00
Positions (direct):
Cl  0.5000  0.5000  0.5000
In  0.0000  0.5000  0.0000
In  0.0000  0.0000  0.5000
In  0.5000  0.0000  0.0000
La  0.0000  0.0000  0.0000